Record 1
AlCu2Ir | PBE | optimized geometry

Output
space group: I-4m2 (119)
total energy: -22.1 eV for the cell shown

Structure (extended XYZ):
```
4
Lattice="-0.341 4.288 -1.147 -1.009 2.082 3.804 3.334 -2.836 -0.815" Properties=species:S:1:pos:R:3 pbc="T T T"
Ir -0.675 3.185 1.328
Al 0.825 1.216 2.159
Cu -1.350 6.370 2.656
Cu 1.159 2.319 -0.317
```

Record 2
AlCu2Ir | PBE | optimized geometry

Output
space group: Cm (8)
total energy: -21.9 eV for the cell shown

Structure (extended XYZ):
```
4
Lattice="4.714 0.050 0.048 3.790 2.804 0.048 1.511 0.507 4.074" Properties=species:S:1:pos:R:3 pbc="T T T"
Ir 4.970 1.668 1.837
Al 2.607 0.875 1.260
Cu 9.909 3.326 3.941
Cu 7.553 2.535 3.387
```

Record 3
AlCuIr2 | PBE | optimized geometry

Output
space group: R-3m (166)
total energy: -26.7 eV for the cell shown

Structure (extended XYZ):
```
4
Lattice="-5.170 -3.010 5.859 -3.252 -5.057 5.828 -2.827 -2.760 7.383" Properties=species:S:1:pos:R:3 pbc="T T T"
Ir -11.216 -10.795 19.013
Ir -5.658 -5.446 9.592
Al -2.812 -2.707 4.768
Cu -8.437 -8.120 14.303
```

Record 4
AlCu2Ir | PBE | optimized geometry

Output
space group: Cmm2 (35)
total energy: -21.0 eV for the cell shown

Structure (extended XYZ):
```
4
Lattice="-0.955 -2.480 -0.502 1.288 0.307 2.358 -7.171 2.021 3.654" Properties=species:S:1:pos:R:3 pbc="T T T"
Ir -3.646 1.027 1.858
Al -5.223 0.432 3.675
Cu -7.152 2.015 3.644
Cu -1.573 -0.596 1.814
```

Record 5
Al2CuIr | PBE | optimized geometry

Output
space group: F-43m (216)
total energy: -21.6 eV for the cell shown

Structure (extended XYZ):
```
4
Lattice="4.286 0.000 0.000 2.143 3.711 0.000 2.143 1.237 3.499" Properties=species:S:1:pos:R:3 pbc="T T T"
Ir 6.428 3.711 2.624
Al 0.000 0.000 0.000
Al 2.143 1.237 0.875
Cu 4.286 2.474 1.750
```

Record 6
AlCuIr | PBE | optimized geometry

Output
space group: Fmm2 (42)
distance to the lowest polymorph of the same formula: 0.862 eV/f.u.
total energy: -17.1 eV for the cell shown

Structure (extended XYZ):
```
3
Lattice="-0.728 2.031 -6.309 -2.689 0.162 -5.811 -0.757 2.647 0.066" Properties=species:S:1:pos:R:3 pbc="T T T"
Ir -2.515 2.346 -7.988
Al -0.759 2.647 0.058
Cu -1.657 2.493 -4.057
```

What did the sixth record say?
AlCuIr | PBE | optimized geometry

Output
space group: Fmm2 (42)
distance to the lowest polymorph of the same formula: 0.862 eV/f.u.
total energy: -17.1 eV for the cell shown

Structure (extended XYZ):
```
3
Lattice="-0.728 2.031 -6.309 -2.689 0.162 -5.811 -0.757 2.647 0.066" Properties=species:S:1:pos:R:3 pbc="T T T"
Ir -2.515 2.346 -7.988
Al -0.759 2.647 0.058
Cu -1.657 2.493 -4.057
```